Record 1
# ReSe4Cl6

A crystal of ReSe4Cl6 relaxed with PBEsol (SCAN, Alexandria).

Geometry as CIF:
```
data_ReSe4Cl6
_symmetry_space_group_name_H-M 'P c c n'
_symmetry_Int_Tables_number 56
_cell_length_a 10.424
_cell_length_b 10.902
_cell_length_c 10.310
_cell_angle_alpha 90.00
_cell_angle_beta 90.00
_cell_angle_gamma 90.00
loop_
_symmetry_equiv_pos_as_xyz
'x,y,z'
'-x,-y,-z'
'-x+1/2,-y+1/2,z'
'x+1/2,y+1/2,-z'
'x+1/2,-y,-z+1/2'
'-x+1/2,y,z+1/2'
'-x,y+1/2,-z+1/2'
'x,-y+1/2,z+1/2'
loop_
_atom_site_label
_atom_site_fract_x
_atom_site_fract_y
_atom_site_fract_z
Re1 0.000 0.000 0.000
Se1 0.088 0.103 0.422
Se2 0.112 0.603 0.976
Cl1 0.089 0.664 0.618
Cl2 0.132 0.136 0.109
Cl3 0.157 0.524 0.338
```

Summary:
- Total magnetic moment: 0.2741 μB/atom
- Formation energy from raw total energies: -458.2 meV per atom
- Energy: -18.5744 eV per atom

Record 2
# SrCaTa2Au

A crystal of SrCaTa2Au relaxed with PBEsol (SCAN, Alexandria).

Geometry as CIF:
```
data_SrCaTa2Au
_symmetry_space_group_name_H-M 'P 4/m m m'
_symmetry_Int_Tables_number 123
_symmetry_space_group_name_Hall '-P 4 2'
_cell_length_a 4.877
_cell_length_b 4.877
_cell_length_c 5.114
_cell_angle_alpha 90.00
_cell_angle_beta 90.00
_cell_angle_gamma 90.00
loop_
_atom_site_label
_atom_site_fract_x
_atom_site_fract_y
_atom_site_fract_z
Sr1 0.000 0.000 0.000
Ca1 0.000 0.000 0.500
Ta1 0.000 0.500 0.000
Au1 0.500 0.500 0.500
```

Summary:
- Total magnetic moment: 0.3157 μB/atom
- Energy: -44.3747 eV per atom
- ΔE_f: 2478 meV per atom

Record 3
# BaTlCr2Cd

A crystal of BaTlCr2Cd relaxed with PBEsol (SCAN, Alexandria).

Geometry as CIF:
```
data_BaTlCr2Cd
_symmetry_space_group_name_H-M 'P 4/m m m'
_symmetry_Int_Tables_number 123
_symmetry_space_group_name_Hall '-P 4 2'
_cell_length_a 5.226
_cell_length_b 5.226
_cell_length_c 6.104
_cell_angle_alpha 90.00
_cell_angle_beta 90.00
_cell_angle_gamma 90.00
loop_
_atom_site_label
_atom_site_fract_x
_atom_site_fract_y
_atom_site_fract_z
Ba1 0.000 0.000 0.000
Tl1 0.500 0.500 0.000
Cr1 0.000 0.500 0.500
Cd1 0.000 0.000 0.500
```

Summary:
- Total magnetic moment: 1.8624 μB/atom
- Energy: -35.1722 eV per atom
- ΔE_f: 646 meV per atom

Record 4
# CaTl2P

A crystal of CaTl2P relaxed with PBEsol (SCAN, Alexandria).

Geometry as CIF:
```
data_CaTl2P
_symmetry_space_group_name_H-M 'P 1 m 1'
_symmetry_Int_Tables_number 6
_cell_length_a 4.247
_cell_length_b 3.927
_cell_length_c 6.502
_cell_angle_alpha 90.00
_cell_angle_beta 108.94
_cell_angle_gamma 90.00
loop_
_symmetry_equiv_pos_as_xyz
'x,y,z'
'x,-y,z'
loop_
_atom_site_label
_atom_site_fract_x
_atom_site_fract_y
_atom_site_fract_z
Ca1 0.000 0.000 0.000
Tl1 0.315 0.500 0.634
Tl2 0.714 0.000 0.429
P1 0.542 0.500 0.084
```

Summary:
- Total magnetic moment: 0.0000 μB/atom
- Energy: -41.6481 eV per atom
- ΔE to the lowest computed polymorph: 0 meV per atom
- ΔE_f: -453 meV per atom

Record 5
# TeMoCl7O

A crystal of TeMoCl7O relaxed with PBEsol (SCAN, Alexandria).

Geometry as CIF:
```
data_TeMoCl7O
_symmetry_space_group_name_H-M 'P 1 21/c 1'
_symmetry_Int_Tables_number 14
_cell_length_a 7.587
_cell_length_b 12.626
_cell_length_c 11.881
_cell_angle_alpha 90.00
_cell_angle_beta 93.10
_cell_angle_gamma 90.00
loop_
_symmetry_equiv_pos_as_xyz
'x,y,z'
'-x,-y,-z'
'-x,y+1/2,-z+1/2'
'x,-y+1/2,z+1/2'
loop_
_atom_site_label
_atom_site_fract_x
_atom_site_fract_y
_atom_site_fract_z
Te1 0.231 0.154 0.370
Mo1 0.456 0.589 0.639
Cl1 0.007 0.096 0.239
Cl2 0.034 0.238 0.487
Cl3 0.250 0.501 0.980
Cl4 0.281 0.147 0.763
Cl5 0.284 0.502 0.497
Cl6 0.486 0.733 0.514
Cl7 0.494 0.575 0.267
O1 0.302 0.637 0.717
```

Summary:
- Total magnetic moment: 0.1000 μB/atom
- Formation energy from raw total energies: -994.4 meV per atom
- Energy: -14.4157 eV per atom

Record 6
# Ca2PRu

A crystal of Ca2PRu relaxed with PBEsol (SCAN, Alexandria).

Geometry as CIF:
```
data_Ca2PRu
_symmetry_space_group_name_H-M 'C m m m'
_symmetry_Int_Tables_number 65
_symmetry_space_group_name_Hall '-C 2 2'
_cell_length_a 5.632
_cell_length_b 7.900
_cell_length_c 3.338
_cell_angle_alpha 90.00
_cell_angle_beta 90.00
_cell_angle_gamma 90.00
loop_
_atom_site_label
_atom_site_fract_x
_atom_site_fract_y
_atom_site_fract_z
Ca1 0.250 0.250 0.000
P1 0.000 0.000 0.500
Ru1 0.000 0.500 0.500
```

Summary:
- Total magnetic moment: 0.0000 μB/atom
- Energy: -16.3115 eV per atom
- ΔE_f: -174 meV per atom

Record 7
# LiNiP2

A crystal of LiNiP2 relaxed with PBEsol (SCAN, Alexandria).

Geometry as CIF:
```
data_LiNiP2
_symmetry_space_group_name_H-M 'P m m m'
_symmetry_Int_Tables_number 47
_cell_length_a 2.643
_cell_length_b 3.737
_cell_length_c 4.952
_cell_angle_alpha 90.00
_cell_angle_beta 90.00
_cell_angle_gamma 90.00
loop_
_symmetry_equiv_pos_as_xyz
'x,y,z'
'-x,-y,-z'
'-x,-y,z'
'x,y,-z'
'x,-y,-z'
'-x,y,z'
'-x,y,-z'
'x,-y,z'
loop_
_atom_site_label
_atom_site_fract_x
_atom_site_fract_y
_atom_site_fract_z
Li1 0.000 0.000 0.000
Ni1 0.500 0.000 0.500
P1 0.500 0.500 0.250
```

Summary:
- Total magnetic moment: 0.0000 μB/atom
- Energy: -10.1548 eV per atom
- ΔE_f: -315 meV per atom

Record 8
# SiAu2Cl

A crystal of SiAu2Cl relaxed with PBEsol (SCAN, Alexandria).

Geometry as CIF:
```
data_SiAu2Cl
_symmetry_space_group_name_H-M 'I m m m'
_symmetry_Int_Tables_number 71
_symmetry_space_group_name_Hall '-I 2 2'
_cell_length_a 2.890
_cell_length_b 4.560
_cell_length_c 10.940
_cell_angle_alpha 90.00
_cell_angle_beta 90.00
_cell_angle_gamma 90.00
loop_
_atom_site_label
_atom_site_fract_x
_atom_site_fract_y
_atom_site_fract_z
Si1 0.000 0.000 0.000
Au1 0.000 0.500 0.301
Cl1 0.000 0.000 0.500
```

Summary:
- Total magnetic moment: 0.0000 μB/atom
- Formation energy from raw total energies: 160.4 meV per atom
- Energy: -38.9165 eV per atom
- ΔE to the lowest computed polymorph: 0 meV per atom

Record 9
# Ca3Y

A crystal of Ca3Y relaxed with PBEsol (SCAN, Alexandria).

Geometry as CIF:
```
data_Ca3Y
_symmetry_space_group_name_H-M 'P m m m'
_symmetry_Int_Tables_number 47
_cell_length_a 3.657
_cell_length_b 5.426
_cell_length_c 7.542
_cell_angle_alpha 90.00
_cell_angle_beta 90.00
_cell_angle_gamma 90.00
loop_
_symmetry_equiv_pos_as_xyz
'x,y,z'
'-x,-y,-z'
'-x,-y,z'
'x,y,-z'
'x,-y,-z'
'-x,y,z'
'-x,y,-z'
'x,-y,z'
loop_
_atom_site_label
_atom_site_fract_x
_atom_site_fract_y
_atom_site_fract_z
Ca1 0.000 0.000 0.000
Ca2 0.500 0.500 0.261
Y1 0.000 0.000 0.500
```

Summary:
- Total magnetic moment: 0.1301 μB/atom
- Energy: -14.0988 eV per atom
- ΔE to the lowest computed polymorph: 42 meV per atom
- ΔE_f: 110 meV per atom

Record 10
# SnGe2S

A crystal of SnGe2S relaxed with PBEsol (SCAN, Alexandria).

Geometry as CIF:
```
data_SnGe2S
_symmetry_space_group_name_H-M 'F m -3 m'
_symmetry_Int_Tables_number 225
_symmetry_space_group_name_Hall '-F 4 2 3'
_cell_length_a 6.781
_cell_length_b 6.781
_cell_length_c 6.781
_cell_angle_alpha 90.00
_cell_angle_beta 90.00
_cell_angle_gamma 90.00
loop_
_atom_site_label
_atom_site_fract_x
_atom_site_fract_y
_atom_site_fract_z
Sn1 0.000 0.000 0.000
Ge1 0.250 0.250 0.250
S1 0.000 0.000 0.500
```

Summary:
- Total magnetic moment: 0.0000 μB/atom
- Formation energy from raw total energies: 433.0 meV per atom
- Energy: -20.4981 eV per atom

Record 11
# La2ZnCo

A crystal of La2ZnCo relaxed with PBEsol (SCAN, Alexandria).

Geometry as CIF:
```
data_La2ZnCo
_symmetry_space_group_name_H-M 'P 1 2/m 1'
_symmetry_Int_Tables_number 10
_cell_length_a 3.713
_cell_length_b 3.567
_cell_length_c 6.951
_cell_angle_alpha 90.00
_cell_angle_beta 98.73
_cell_angle_gamma 90.00
loop_
_symmetry_equiv_pos_as_xyz
'x,y,z'
'-x,-y,-z'
'-x,y,-z'
'x,-y,z'
loop_
_atom_site_label
_atom_site_fract_x
_atom_site_fract_y
_atom_site_fract_z
La1 0.088 0.000 0.277
Zn1 0.500 0.500 0.000
Co1 0.500 0.500 0.500
```

Summary:
- Total magnetic moment: 0.0001 μB/atom
- Energy: -29.3213 eV per atom
- ΔE_f: -64 meV per atom

Record 12
# RbLaW2Cl

A crystal of RbLaW2Cl relaxed with PBEsol (SCAN, Alexandria).

Geometry as CIF:
```
data_RbLaW2Cl
_symmetry_space_group_name_H-M 'P 4/m m m'
_symmetry_Int_Tables_number 123
_symmetry_space_group_name_Hall '-P 4 2'
_cell_length_a 4.874
_cell_length_b 4.874
_cell_length_c 10.346
_cell_angle_alpha 90.00
_cell_angle_beta 90.00
_cell_angle_gamma 90.00
loop_
_atom_site_label
_atom_site_fract_x
_atom_site_fract_y
_atom_site_fract_z
Rb1 0.000 0.000 0.000
La1 0.000 0.000 0.500
W1 0.000 0.500 0.500
Cl1 0.500 0.500 0.000
```

Summary:
- Total magnetic moment: 0.4843 μB/atom
- Formation energy from raw total energies: 1980.3 meV per atom
- Energy: -40.2594 eV per atom

Record 13
# ZnRh2Au

A crystal of ZnRh2Au relaxed with PBEsol (SCAN, Alexandria).

Geometry as CIF:
```
data_ZnRh2Au
_symmetry_space_group_name_H-M 'P 4 m m'
_symmetry_Int_Tables_number 99
_cell_length_a 2.745
_cell_length_b 2.745
_cell_length_c 7.564
_cell_angle_alpha 90.00
_cell_angle_beta 90.00
_cell_angle_gamma 90.00
loop_
_symmetry_equiv_pos_as_xyz
'x,y,z'
'-y,x,z'
'-x,-y,z'
'y,-x,z'
'-x,y,z'
'y,x,z'
'x,-y,z'
'-y,-x,z'
loop_
_atom_site_label
_atom_site_fract_x
_atom_site_fract_y
_atom_site_fract_z
Zn1 0.000 0.000 0.000
Rh1 0.000 0.000 0.534
Rh2 0.500 0.500 0.765
Au1 0.500 0.500 0.259
```

Summary:
- Total magnetic moment: 0.0013 μB/atom
- Energy: -37.6720 eV per atom
- ΔE_f: -118 meV per atom

Record 14
# Sr2InPb2

A crystal of Sr2InPb2 relaxed with PBEsol (SCAN, Alexandria).

Geometry as CIF:
```
data_Sr2InPb2
_symmetry_space_group_name_H-M 'P 4/m b m'
_symmetry_Int_Tables_number 127
_symmetry_space_group_name_Hall '-P 4 2ab'
_cell_length_a 8.023
_cell_length_b 8.023
_cell_length_c 5.038
_cell_angle_alpha 90.00
_cell_angle_beta 90.00
_cell_angle_gamma 90.00
loop_
_atom_site_label
_atom_site_fract_x
_atom_site_fract_y
_atom_site_fract_z
Sr1 0.169 0.331 0.000
In1 0.000 0.000 0.500
Pb1 0.137 0.637 0.500
```

Summary:
- Total magnetic moment: 0.0000 μB/atom
- Energy: -46.5289 eV per atom
- ΔE_f: -629 meV per atom

Record 15
# DyClO

A crystal of DyClO relaxed with PBEsol (SCAN, Alexandria).

Geometry as CIF:
```
data_DyClO
_symmetry_space_group_name_H-M 'P 4/n m m'
_symmetry_Int_Tables_number 129
_cell_length_a 3.851
_cell_length_b 3.851
_cell_length_c 6.563
_cell_angle_alpha 90.00
_cell_angle_beta 90.00
_cell_angle_gamma 90.00
loop_
_symmetry_equiv_pos_as_xyz
'x,y,z'
'-x,-y,-z'
'-y+1/2,x,z'
'y+1/2,-x,-z'
'-x+1/2,-y+1/2,z'
'x+1/2,y+1/2,-z'
'y,-x+1/2,z'
'-y,x+1/2,-z'
'x+1/2,-y,-z'
'-x+1/2,y,z'
'-y,-x,-z'
'y,x,z'
'-x,y+1/2,-z'
'x,-y+1/2,z'
'y+1/2,x+1/2,-z'
'-y+1/2,-x+1/2,z'
loop_
_atom_site_label
_atom_site_fract_x
_atom_site_fract_y
_atom_site_fract_z
Dy1 0.250 0.250 0.170
Cl1 0.250 0.250 0.627
O1 0.250 0.750 0.000
```

Summary:
- Total magnetic moment: 0.0000 μB/atom
- Formation energy from raw total energies: -3428.5 meV per atom
- Energy: -24.0970 eV per atom

Record 16
# MgZr2Cd

A crystal of MgZr2Cd relaxed with PBEsol (SCAN, Alexandria).

Geometry as CIF:
```
data_MgZr2Cd
_symmetry_space_group_name_H-M 'C m m m'
_symmetry_Int_Tables_number 65
_symmetry_space_group_name_Hall '-C 2 2'
_cell_length_a 5.958
_cell_length_b 8.898
_cell_length_c 3.164
_cell_angle_alpha 90.00
_cell_angle_beta 90.00
_cell_angle_gamma 90.00
loop_
_atom_site_label
_atom_site_fract_x
_atom_site_fract_y
_atom_site_fract_z
Mg1 0.000 0.000 0.000
Zr1 0.250 0.250 0.500
Cd1 0.000 0.500 0.000
```

Summary:
- Total magnetic moment: 0.0739 μB/atom
- Energy: -24.2736 eV per atom
- ΔE_f: -77 meV per atom

Record 17
# LaMgInRh2

A crystal of LaMgInRh2 relaxed with PBEsol (SCAN, Alexandria).

Geometry as CIF:
```
data_LaMgInRh2
_symmetry_space_group_name_H-M 'P 4/m m m'
_symmetry_Int_Tables_number 123
_symmetry_space_group_name_Hall '-P 4 2'
_cell_length_a 4.806
_cell_length_b 4.806
_cell_length_c 5.858
_cell_angle_alpha 90.00
_cell_angle_beta 90.00
_cell_angle_gamma 90.00
loop_
_atom_site_label
_atom_site_fract_x
_atom_site_fract_y
_atom_site_fract_z
La1 0.000 0.000 0.000
Mg1 0.000 0.000 0.500
In1 0.500 0.500 0.500
Rh1 0.000 0.500 0.000
```

Summary:
- Total magnetic moment: 0.0000 μB/atom
- Energy: -28.9996 eV per atom
- ΔE_f: 802 meV per atom

Record 18
# NaAsH4O5

A crystal of NaAsH4O5 relaxed with PBEsol (SCAN, Alexandria).

Geometry as CIF:
```
data_NaAsH4O5
_symmetry_space_group_name_H-M 'P 1 21/m 1'
_symmetry_Int_Tables_number 11
_cell_length_a 5.448
_cell_length_b 7.067
_cell_length_c 5.870
_cell_angle_alpha 90.00
_cell_angle_beta 93.69
_cell_angle_gamma 90.00
loop_
_symmetry_equiv_pos_as_xyz
'x,y,z'
'-x,-y,-z'
'-x,y+1/2,-z'
'x,-y+1/2,z'
loop_
_atom_site_label
_atom_site_fract_x
_atom_site_fract_y
_atom_site_fract_z
Na1 0.000 0.000 0.000
As1 0.319 0.250 0.525
H1 0.260 0.567 0.426
H2 0.322 0.750 0.792
H3 0.451 0.750 0.043
O1 0.197 0.064 0.361
O2 0.254 0.250 0.800
O3 0.286 0.750 0.957
O4 0.368 0.750 0.507
```

Summary:
- Total magnetic moment: 0.0001 μB/atom
- Energy: -7.6357 eV per atom

Record 19
# ZnNi3

A crystal of ZnNi3 relaxed with PBEsol (SCAN, Alexandria).

Geometry as CIF:
```
data_ZnNi3
_symmetry_space_group_name_H-M 'I 4/m m m'
_symmetry_Int_Tables_number 139
_symmetry_space_group_name_Hall '-I 4 2'
_cell_length_a 3.532
_cell_length_b 3.532
_cell_length_c 13.926
_cell_angle_alpha 90.00
_cell_angle_beta 90.00
_cell_angle_gamma 90.00
loop_
_atom_site_label
_atom_site_fract_x
_atom_site_fract_y
_atom_site_fract_z
Zn1 0.000 0.000 0.125
Ni1 0.000 0.000 0.374
Ni2 0.000 0.500 0.000
Ni3 0.000 0.500 0.250
```

Summary:
- Total magnetic moment: 0.3287 μB/atom
- Energy: -15.6090 eV per atom
- ΔE_f: -100 meV per atom

Record 20
# KTa2Si

A crystal of KTa2Si relaxed with PBEsol (SCAN, Alexandria).

Geometry as CIF:
```
data_KTa2Si
_symmetry_space_group_name_H-M 'C 1 m 1'
_symmetry_Int_Tables_number 8
_cell_length_a 8.909
_cell_length_b 2.864
_cell_length_c 7.525
_cell_angle_alpha 90.00
_cell_angle_beta 94.74
_cell_angle_gamma 90.00
loop_
_symmetry_equiv_pos_as_xyz
'x,y,z'
'x,-y,z'
'x+1/2,y+1/2,z'
'x+1/2,-y+1/2,z'
loop_
_atom_site_label
_atom_site_fract_x
_atom_site_fract_y
_atom_site_fract_z
K1 0.000 0.000 0.000
Ta1 0.011 0.500 0.530
Ta2 0.278 0.500 0.364
Si1 0.250 0.000 0.663
```

Summary:
- Total magnetic moment: 0.0001 μB/atom
- Formation energy from raw total energies: 567.8 meV per atom
- Energy: -37.3100 eV per atom